(1)
TaIr3Rh | GGA-PBEsol | relaxed

a b c (Å): 4.6564 4.6564 4.6564
angles (deg): 90.00 90.00 90.00
Space group Pm-3m (No. 221)
Asymmetric unit:
Ta1 0.0000 0.0000 0.0000 (multiplicity 1)
Ir1 0.0000 0.0000 0.5000 (multiplicity 3)
Rh1 0.5000 0.5000 0.5000 (multiplicity 1)

Summary:
Crystal system ... cubic
Energy of formation ... 1.9792 eV per atom
N(E_F) ... 8.589 states/eV/f.u.
Final energy ... -8.05 eV per atom

(2)
YMgOs2 | GGA-PBEsol | relaxed

a b c (Å): 3.1664 4.7201 8.9348
angles (deg): 90.00 90.00 90.00
Space group Cmmm (No. 65)
Asymmetric unit:
Y1 0.0000 0.0000 0.0000 (multiplicity 2)
Mg1 0.0000 0.0000 0.5000 (multiplicity 2)
Os1 0.0000 0.5000 0.2569 (multiplicity 4)

Summary:
Crystal system ... orthorhombic
Energy of formation ... 0.3821 eV per atom
N(E_F) ... 3.350 states/eV/f.u.
Final energy ... -7.86 eV per atom

(3)
PrIn5Rh | GGA-PBEsol | relaxed

a b c (Å): 4.6215 4.6215 7.4988
angles (deg): 90.00 90.00 90.00
Space group P4/mmm (No. 123)
Asymmetric unit:
Pr1 0.0000 0.0000 0.0000 (multiplicity 1)
In1 0.0000 0.5000 0.3047 (multiplicity 4)
In2 0.5000 0.5000 0.0000 (multiplicity 1)
Rh1 0.0000 0.0000 0.5000 (multiplicity 1)

Summary:
Crystal system ... tetragonal
Energy of formation ... -0.4981 eV per atom
N(E_F) ... 2.028 states/eV/f.u.
Final energy ... -4.53 eV per atom

(4)
Zn2SiTe | GGA-PBEsol | relaxed

a b c (Å): 6.6896 6.6896 6.6896
angles (deg): 90.00 90.00 90.00
Space group Fm-3m (No. 225)
Asymmetric unit:
Zn1 0.2500 0.2500 0.2500 (multiplicity 8)
Si1 0.0000 0.0000 0.0000 (multiplicity 4)
Te1 0.0000 0.0000 0.5000 (multiplicity 4)

Summary:
Crystal system ... cubic
Polymorph energy (0 for the lowest one) ... 220 meV per atom
Formation energy from raw total energies ... 1.7 eV/f.u.
N(E_F) ... 2.074 states/eV/f.u.
Final energy ... -2.69 eV per atom

(5)
Sr2TmReO6 | GGA-PBEsol | relaxed

a b c (Å): 8.1708 8.1708 8.1708
angles (deg): 90.00 90.00 90.00
Space group Fm-3m (No. 225)
Asymmetric unit:
Sr1 0.2500 0.2500 0.2500 (multiplicity 8)
Tm1 0.0000 0.0000 0.0000 (multiplicity 4)
Re1 0.0000 0.0000 0.5000 (multiplicity 4)
O1 0.0000 0.0000 0.2622 (multiplicity 24)

Summary:
Crystal system ... cubic
Formation energy from raw total energies ... -26.7 eV/f.u.
N(E_F) ... 4.499 states/eV/f.u.
Final energy ... -8.01 eV per atom

(6)
NiHgSe2 | GGA-PBEsol | relaxed

a b c (Å): 5.8414 5.8414 10.7489
angles (deg): 90.00 90.00 90.00
Space group I-42d (No. 122)
Asymmetric unit:
Ni1 0.0000 0.0000 0.0000 (multiplicity 4)
Hg1 0.0000 0.0000 0.5000 (multiplicity 4)
Se1 0.1862 0.2500 0.1250 (multiplicity 8)

Summary:
Crystal system ... tetragonal
Formation energy from raw total energies ... -0.6 eV/f.u.
N(E_F) ... 2.118 states/eV/f.u.
Final energy ... -3.76 eV per atom

(7)
BaSc2Br | GGA-PBEsol | relaxed

a b c (Å): 3.4786 5.5245 6.0506
angles (deg): 90.00 90.00 90.00
Space group Pmmm (No. 47)
Asymmetric unit:
Ba1 0.0000 0.0000 0.0000 (multiplicity 1)
Sc1 0.0000 0.5000 0.5000 (multiplicity 1)
Sc2 0.5000 0.0000 0.5000 (multiplicity 1)
Br1 0.5000 0.5000 0.0000 (multiplicity 1)

Summary:
Crystal system ... orthorhombic
Polymorph energy (0 for the lowest one) ... 0 meV per atom
Formation energy from raw total energies ... -0.7 eV/f.u.
N(E_F) ... 5.897 states/eV/f.u.
Final energy ... -4.48 eV per atom

(8)
Re3RuS | GGA-PBEsol | relaxed

a b c (Å): 4.6074 4.6074 4.6074
angles (deg): 90.00 90.00 90.00
Space group Pm-3m (No. 221)
Asymmetric unit:
Re1 0.0000 0.0000 0.5000 (multiplicity 3)
Ru1 0.0000 0.0000 0.0000 (multiplicity 1)
S1 0.5000 0.5000 0.5000 (multiplicity 1)

Summary:
Crystal system ... cubic
Formation energy from raw total energies ... 13.0 eV/f.u.
N(E_F) ... 7.301 states/eV/f.u.
Final energy ... -8.31 eV per atom